Record 1
SrPSeN2 | Alexandria via LeMat-Bulk | SCAN | PBEsol geometry; formation energy (no corrections) = 1.670 eV per atom; space group = P4/mmm (123); calculated total energy = -12.5967 eV per atom; calculated density = 2.9 Mg/m³; magnetic moment = 6.02 μB per formula unit
1.0
4.5999 0.0000 0.0000
0.0000 4.5999 0.0000
0.0000 0.0000 6.1676
N Se P Sr
2 1 1 1
Direct
0.5000 0.0000 0.0000
0.0000 0.5000 0.0000
0.0000 0.0000 0.5000
0.5000 0.5000 0.5000
0.0000 0.0000 0.0000

=====

Record 2
V2OF8 | Alexandria via LeMat-Bulk | SCAN | PBEsol geometry; formation energy (no corrections) = -2.798 eV per atom; space group = P2/c (13); calculated total energy = -9.1186 eV per atom; calculated density = 2.8 Mg/m³; magnetic moment = 0.08 μB per formula unit
1.0
-3.3504 3.3112 -2.1489
-6.4930 -3.8150 4.2451
4.5283 10.4492 9.0405
V O F
8 4 32
Direct
0.9323 0.5486 0.6599
0.2205 0.0870 0.8782
0.0677 0.5486 0.1599
0.7795 0.0870 0.3782
0.9323 0.4514 0.8401
0.0677 0.4514 0.3401
0.2205 0.9130 0.6218
0.7795 0.9130 0.1218
0.9324 0.7060 0.1386
0.0676 0.7060 0.6386
0.0676 0.2940 0.8614
0.9324 0.2940 0.3614
0.0794 0.6050 0.9227
0.6363 0.4610 0.8953
0.1860 0.5000 0.7500
0.6678 0.9010 0.3780
0.6678 0.0990 0.1220
0.2069 0.3575 0.2219
0.3637 0.5390 0.1047
0.0929 0.0579 0.4138
0.6363 0.5390 0.6047
0.9206 0.6050 0.4227
0.8140 0.5000 0.2500
0.4759 0.8566 0.6839
0.6687 0.1848 0.4879
0.9223 0.0000 0.2500
0.4759 0.1434 0.8161
0.9071 0.0579 0.9138
0.0777 0.0000 0.7500
0.9206 0.3950 0.0773
0.0794 0.3950 0.5773
0.5241 0.1434 0.3161
0.5241 0.8566 0.1839
0.3322 0.9010 0.8780
0.6687 0.8152 0.0121
0.3322 0.0990 0.6220
0.0929 0.9421 0.0862
0.2069 0.6425 0.2781
0.3637 0.4610 0.3953
0.3313 0.1848 0.9879
0.9071 0.9421 0.5862
0.3313 0.8152 0.5121
0.7931 0.3575 0.7219
0.7931 0.6425 0.7781

=====

- formation energy (no corrections) of number 2 (V2OF8)?
  -2.798 eV per atom

=====

- What is the magnetic moment in the second record?
  0.08 μB per formula unit

=====

- Number 1 is which compound?
  SrPSeN2

=====

Repeat the second record exactly.
V2OF8 | Alexandria via LeMat-Bulk | SCAN | PBEsol geometry; formation energy (no corrections) = -2.798 eV per atom; space group = P2/c (13); calculated total energy = -9.1186 eV per atom; calculated density = 2.8 Mg/m³; magnetic moment = 0.08 μB per formula unit
1.0
-3.3504 3.3112 -2.1489
-6.4930 -3.8150 4.2451
4.5283 10.4492 9.0405
V O F
8 4 32
Direct
0.9323 0.5486 0.6599
0.2205 0.0870 0.8782
0.0677 0.5486 0.1599
0.7795 0.0870 0.3782
0.9323 0.4514 0.8401
0.0677 0.4514 0.3401
0.2205 0.9130 0.6218
0.7795 0.9130 0.1218
0.9324 0.7060 0.1386
0.0676 0.7060 0.6386
0.0676 0.2940 0.8614
0.9324 0.2940 0.3614
0.0794 0.6050 0.9227
0.6363 0.4610 0.8953
0.1860 0.5000 0.7500
0.6678 0.9010 0.3780
0.6678 0.0990 0.1220
0.2069 0.3575 0.2219
0.3637 0.5390 0.1047
0.0929 0.0579 0.4138
0.6363 0.5390 0.6047
0.9206 0.6050 0.4227
0.8140 0.5000 0.2500
0.4759 0.8566 0.6839
0.6687 0.1848 0.4879
0.9223 0.0000 0.2500
0.4759 0.1434 0.8161
0.9071 0.0579 0.9138
0.0777 0.0000 0.7500
0.9206 0.3950 0.0773
0.0794 0.3950 0.5773
0.5241 0.1434 0.3161
0.5241 0.8566 0.1839
0.3322 0.9010 0.8780
0.6687 0.8152 0.0121
0.3322 0.0990 0.6220
0.0929 0.9421 0.0862
0.2069 0.6425 0.2781
0.3637 0.4610 0.3953
0.3313 0.1848 0.9879
0.9071 0.9421 0.5862
0.3313 0.8152 0.5121
0.7931 0.3575 0.7219
0.7931 0.6425 0.7781